Crystalline Pm2Co4P3Ru at its relaxed geometry. Source: the Alexandria database, functional GGA-PBE.

Total magnetization, μB per cell: 0.94
Fermi-level density of states, states/eV/atom: 0.66
Formation energy from the elements, eV per atom: -0.762

Unit cell a=3.9597 b=3.9597 c=9.4874 alpha=90.00 beta=90.00 gamma=90.00
Closest atoms and distances in Å follow each position.
Atoms (fractional coordinates):
Pm: 0.0000 0.5000 0.2432  6 P 3.01-3.14, 8 Co 3.04-3.06, 2 Ru 3.14
Pm: 0.5000 0.0000 0.7568  6 P 3.01-3.14, 8 Co 3.04-3.06, 2 Ru 3.14
Co: 0.0000 0.0000 0.0000  4 P 2.32
Co: 0.0000 0.5000 0.6278  2 Ru 2.32, 3 P 2.32-2.33
Co: 0.5000 0.0000 0.3722  2 Ru 2.32, 3 P 2.32-2.33
Co: 0.5000 0.5000 0.0000  4 P 2.32
P: 0.0000 0.5000 0.8732  5 Co 2.32-2.33
P: 0.5000 0.0000 0.1268  5 Co 2.32-2.33
P: 0.5000 0.5000 0.5000  4 Co 2.32
Ru: 0.0000 0.0000 0.5000  4 Co 2.32

Crystalline USbF at its relaxed geometry. Source: the Alexandria database, functional GGA-PBE.

Total magnetization, μB per cell: 7.95
ΔE_f (raw), eV per atom: -1.347
Relative energy among the computed polymorphs, eV/atom: 0.202
Fermi-level density of states, states/eV/atom: 2.24

Unit cell a=8.3054 b=8.3054 c=6.0783 alpha=90.00 beta=90.00 gamma=90.00
Closest atoms and distances in Å follow each position.
Atoms (fractional coordinates):
U: 0.0000 0.2753 0.0000  2 F 2.28
U: 0.0000 0.7247 0.0000  2 F 2.28
U: 0.2753 0.0000 0.5000  2 F 2.28
U: 0.7247 0.0000 0.5000  2 F 2.28
Sb: 0.0000 0.2524 0.5000  4 U 3.05-3.10
Sb: 0.0000 0.7476 0.5000  4 U 3.05-3.10
Sb: 0.2524 0.0000 0.0000  4 U 3.05-3.10
Sb: 0.7476 0.0000 0.0000  4 U 3.05-3.10
F: 0.1587 0.5000 0.0000  2 U 2.28
F: 0.5000 0.1587 0.5000  2 U 2.28
F: 0.5000 0.8413 0.5000  2 U 2.28
F: 0.8413 0.5000 0.0000  2 U 2.28